(1)
Density functional theory data (GGA-PBE) for a geometry-optimized SiRuF2 structure.

## Properties
For the energy relative to the elements, uncorrected, the calculation gives -0.162 eV/atom. For the energy above the most stable polymorph in this dataset, the calculation gives 705 meV per atom. The crystal system is cubic. As for the energy: -19.09 eV/f.u. The density of states at the Fermi level comes out at 1.994 states/eV per cell. The spin magnetization comes out at 0.52 μB/atom.

Lattice parameters (Å, degrees): 4.166 4.166 4.166 60.00 60.00 60.00
Element x y z (fractional)
Si  0.000  0.000  0.000
Ru  0.500  0.500  0.500
F  0.250  0.250  0.250
F  0.750  0.750  0.750



(2)
Density functional theory data (GGA-PBE) for a geometry-optimized Si3RuF structure.

## Properties
For the energy relative to the elements, uncorrected, the calculation gives 0.499 eV/atom. For the energy above the most stable polymorph in this dataset, the calculation gives 623 meV per atom. The crystal system is cubic. As for the energy: -24.92 eV/f.u. The density of states at the Fermi level comes out at 2.484 states/eV per cell. The spin magnetization comes out at 0.00 μB/atom.

Lattice parameters (Å, degrees): 4.155 4.155 4.155 90.00 90.00 90.00
Element x y z (fractional)
Si  0.000  0.000  0.500
Si  0.000  0.500  0.000
Si  0.500  0.000  0.000
Ru  0.500  0.500  0.500
F  0.000  0.000  0.000



(3)
Density functional theory data (GGA-PBE) for a geometry-optimized SiRuF2 structure.

## Properties
For the energy relative to the elements, uncorrected, the calculation gives -0.732 eV/atom. For the energy above the most stable polymorph in this dataset, the calculation gives 135 meV per atom. The crystal system is trigonal. As for the energy: -21.37 eV/f.u. The density of states at the Fermi level comes out at 2.067 states/eV per cell. The spin magnetization comes out at 0.15 μB/atom.

Lattice parameters (Å, degrees): 8.035 8.035 8.035 19.15 19.15 19.15
Element x y z (fractional)
Si  0.000  0.000  0.000
Ru  0.500  0.500  0.500
F  0.414  0.414  0.414
F  0.586  0.586  0.586



(4)
Density functional theory data (GGA-PBE) for a geometry-optimized Si4Ru2F structure.

## Properties
For the energy relative to the elements, uncorrected, the calculation gives -0.103 eV/atom. The crystal system is tetragonal. As for the energy: -42.83 eV/f.u. The density of states at the Fermi level comes out at 3.543 states/eV per cell. The spin magnetization comes out at 0.00 μB/atom.

Lattice parameters (Å, degrees): 7.188 7.188 7.188 148.19 148.19 45.60
Element x y z (fractional)
Si  0.000  0.500  0.500
Si  0.206  0.206  0.000
Si  0.500  0.000  0.500
Si  0.794  0.794  0.000
Ru  0.392  0.392  0.000
Ru  0.608  0.608  0.000
F  0.000  0.000  0.000



(5)
Density functional theory data (GGA-PBE) for a geometry-optimized SiRuF3 structure.

## Properties
For the energy relative to the elements, uncorrected, the calculation gives -0.614 eV/atom. For the energy above the most stable polymorph in this dataset, the calculation gives 0 meV per atom. The crystal system is cubic. As for the energy: -23.38 eV/f.u. The density of states at the Fermi level comes out at 0.764 states/eV per cell. The spin magnetization comes out at 0.58 μB/atom.

Lattice parameters (Å, degrees): 4.197 4.197 4.197 90.00 90.00 90.00
Element x y z (fractional)
Si  0.000  0.000  0.000
Ru  0.500  0.500  0.500
F  0.000  0.000  0.500
F  0.000  0.500  0.000
F  0.500  0.000  0.000



Number 4 is which compound? Si4Ru2F



Which formula does entry 4 have? Si4Ru2F



energy of number 5 (SiRuF3)? -23.38 eV/f.u.